Model one:
Material: DyU2Se6
Method: DFT, PBE
State: relaxed

Its space group is No. 121. The magnetic moment is 3.0 Bohr magnetons per cell. The value obtained for the density of states at the Fermi level is 1.42 states/eV per atom.

The structure in CIF format:
```
data_DyU2Se6
_symmetry_space_group_name_H-M 'P 1'
_symmetry_Int_Tables_number 1
_symmetry_space_group_name_Hall 'P 1'
_cell_length_a 10.898
_cell_length_b 10.898
_cell_length_c 10.898
_cell_angle_alpha 152.03
_cell_angle_beta 152.03
_cell_angle_gamma 39.97
loop_
_atom_site_label
_atom_site_fract_x
_atom_site_fract_y
_atom_site_fract_z
Dy1 0.000 0.000 0.000
U1 0.314 0.314 0.000
U2 0.686 0.686 0.000
Se1 0.175 0.644 0.000
Se2 0.250 0.750 0.500
Se3 0.356 0.356 0.531
Se4 0.644 0.175 0.000
Se5 0.750 0.250 0.500
Se6 0.825 0.825 0.469
```


Model two:
Material: DyU2Se6
Method: DFT, PBE
State: relaxed

Its space group is No. 12. The magnetic moment is 3.0 Bohr magnetons per cell. The value obtained for the density of states at the Fermi level is 1.18 states/eV per atom.

The structure in CIF format:
```
data_DyU2Se6
_symmetry_space_group_name_H-M 'P 1'
_symmetry_Int_Tables_number 1
_symmetry_space_group_name_Hall 'P 1'
_cell_length_a 9.254
_cell_length_b 9.254
_cell_length_c 8.377
_cell_angle_alpha 103.59
_cell_angle_beta 103.59
_cell_angle_gamma 25.94
loop_
_atom_site_label
_atom_site_fract_x
_atom_site_fract_y
_atom_site_fract_z
Dy1 0.000 0.000 0.000
U1 0.335 0.335 0.676
U2 0.665 0.665 0.324
Se1 0.165 0.165 0.100
Se2 0.173 0.173 0.558
Se3 0.490 0.490 0.759
Se4 0.510 0.510 0.241
Se5 0.827 0.827 0.442
Se6 0.835 0.835 0.900
```


Stability order, top to bottom: model two, model one


Model one:
Material: DyU2Se4
Method: DFT, PBE
State: relaxed

Its space group is No. 74. The magnetic moment is 11.3 Bohr magnetons per cell. The value obtained for the density of states at the Fermi level is 1.33 states/eV per atom.

The structure in CIF format:
```
data_DyU2Se4
_symmetry_space_group_name_H-M 'P 1'
_symmetry_Int_Tables_number 1
_symmetry_space_group_name_Hall 'P 1'
_cell_length_a 8.088
_cell_length_b 8.088
_cell_length_c 8.088
_cell_angle_alpha 119.94
_cell_angle_beta 119.48
_cell_angle_gamma 90.50
loop_
_atom_site_label
_atom_site_fract_x
_atom_site_fract_y
_atom_site_fract_z
Dy1 0.500 0.000 0.000
Dy2 0.500 0.500 0.500
U1 0.000 0.000 0.000
U2 0.000 0.000 0.500
U3 0.000 0.500 0.000
U4 0.500 0.000 0.500
Se1 0.244 0.742 0.502
Se2 0.251 0.254 0.503
Se3 0.251 0.747 0.997
Se4 0.260 0.258 0.002
Se5 0.740 0.742 0.998
Se6 0.749 0.253 0.003
Se7 0.749 0.746 0.497
Se8 0.756 0.258 0.498
```


Model two:
Material: DyU2Se4
Method: DFT, PBE
State: relaxed

Its space group is No. 63. The magnetic moment is 12.7 Bohr magnetons per cell. The value obtained for the density of states at the Fermi level is 1.67 states/eV per atom.

The structure in CIF format:
```
data_DyU2Se4
_symmetry_space_group_name_H-M 'P 1'
_symmetry_Int_Tables_number 1
_symmetry_space_group_name_Hall 'P 1'
_cell_length_a 6.998
_cell_length_b 6.998
_cell_length_c 14.059
_cell_angle_alpha 90.00
_cell_angle_beta 90.00
_cell_angle_gamma 147.76
loop_
_atom_site_label
_atom_site_fract_x
_atom_site_fract_y
_atom_site_fract_z
Dy1 0.115 0.885 0.750
Dy2 0.885 0.115 0.250
U1 0.361 0.639 0.566
U2 0.361 0.639 0.934
U3 0.639 0.361 0.066
U4 0.639 0.361 0.434
Se1 0.000 0.000 0.000
Se2 0.000 0.000 0.500
Se3 0.285 0.715 0.128
Se4 0.285 0.715 0.372
Se5 0.457 0.543 0.750
Se6 0.543 0.457 0.250
Se7 0.715 0.285 0.628
Se8 0.715 0.285 0.872
```


Stability order, top to bottom: model one, model two


Model one:
Material: Dy6YSe8
Method: DFT, PBE
State: relaxed

Its space group is No. 148. The magnetic moment is 0.0 Bohr magnetons per cell. The value obtained for the density of states at the Fermi level is 0.58 states/eV per atom.

The structure in CIF format:
```
data_Dy6YSe8
_symmetry_space_group_name_H-M 'P 1'
_symmetry_Int_Tables_number 1
_symmetry_space_group_name_Hall 'P 1'
_cell_length_a 8.072
_cell_length_b 8.072
_cell_length_c 8.072
_cell_angle_alpha 96.44
_cell_angle_beta 96.44
_cell_angle_gamma 96.44
loop_
_atom_site_label
_atom_site_fract_x
_atom_site_fract_y
_atom_site_fract_z
Dy1 0.058 0.692 0.874
Dy2 0.126 0.942 0.308
Dy3 0.308 0.126 0.942
Dy4 0.692 0.874 0.058
Dy5 0.874 0.058 0.692
Dy6 0.942 0.308 0.126
Y1 0.500 0.500 0.500
Se1 0.095 0.353 0.822
Se2 0.178 0.905 0.647
Se3 0.276 0.276 0.276
Se4 0.353 0.822 0.095
Se5 0.647 0.178 0.905
Se6 0.724 0.724 0.724
Se7 0.822 0.095 0.353
Se8 0.905 0.647 0.178
```


Model two:
Material: Dy6YSe8
Method: DFT, PBE
State: relaxed

Its space group is No. 225. The magnetic moment is 0.0 Bohr magnetons per cell. The value obtained for the density of states at the Fermi level is 0.42 states/eV per atom.

The structure in CIF format:
```
data_Dy6YSe8
_symmetry_space_group_name_H-M 'P 1'
_symmetry_Int_Tables_number 1
_symmetry_space_group_name_Hall 'P 1'
_cell_length_a 8.122
_cell_length_b 8.122
_cell_length_c 8.122
_cell_angle_alpha 60.00
_cell_angle_beta 60.00
_cell_angle_gamma 60.00
loop_
_atom_site_label
_atom_site_fract_x
_atom_site_fract_y
_atom_site_fract_z
Dy1 0.000 0.000 0.500
Dy2 0.000 0.500 0.000
Dy3 0.000 0.500 0.500
Dy4 0.500 0.000 0.000
Dy5 0.500 0.000 0.500
Dy6 0.500 0.500 0.000
Y1 0.000 0.000 0.000
Se1 0.250 0.250 0.250
Se2 0.254 0.254 0.746
Se3 0.254 0.746 0.254
Se4 0.254 0.746 0.746
Se5 0.746 0.254 0.254
Se6 0.746 0.254 0.746
Se7 0.746 0.746 0.254
Se8 0.750 0.750 0.750
```


Stability order, top to bottom: model two, model one


Model one:
Material: DyYSe2
Method: DFT, PBE
State: relaxed

Its space group is No. 194. The magnetic moment is 0.0 Bohr magnetons per cell. The value obtained for the density of states at the Fermi level is 0.42 states/eV per atom.

The structure in CIF format:
```
data_DyYSe2
_symmetry_space_group_name_H-M 'P 1'
_symmetry_Int_Tables_number 1
_symmetry_space_group_name_Hall 'P 1'
_cell_length_a 4.004
_cell_length_b 4.004
_cell_length_c 13.900
_cell_angle_alpha 90.00
_cell_angle_beta 90.00
_cell_angle_gamma 120.00
loop_
_atom_site_label
_atom_site_fract_x
_atom_site_fract_y
_atom_site_fract_z
Dy1 0.333 0.667 0.250
Dy2 0.667 0.333 0.750
Y1 0.000 0.000 0.000
Y2 0.000 0.000 0.500
Se1 0.333 0.667 0.623
Se2 0.333 0.667 0.877
Se3 0.667 0.333 0.123
Se4 0.667 0.333 0.377
```


Model two:
Material: DyYSe2
Method: DFT, PBE
State: relaxed

Its space group is No. 12. The magnetic moment is 0.0 Bohr magnetons per cell. The value obtained for the density of states at the Fermi level is 0.48 states/eV per atom.

The structure in CIF format:
```
data_DyYSe2
_symmetry_space_group_name_H-M 'P 1'
_symmetry_Int_Tables_number 1
_symmetry_space_group_name_Hall 'P 1'
_cell_length_a 4.086
_cell_length_b 4.086
_cell_length_c 7.043
_cell_angle_alpha 107.02
_cell_angle_beta 107.02
_cell_angle_gamma 60.25
loop_
_atom_site_label
_atom_site_fract_x
_atom_site_fract_y
_atom_site_fract_z
Dy1 0.000 0.000 0.000
Y1 0.500 0.500 0.500
Se1 0.250 0.250 0.751
Se2 0.750 0.750 0.249
```


Stability order, top to bottom: model two, model one


Model one:
Material: DyY2Se
Method: DFT, PBE
State: relaxed

Its space group is No. 160. The magnetic moment is 0.5 Bohr magnetons per cell. The value obtained for the density of states at the Fermi level is 0.92 states/eV per atom.

The structure in CIF format:
```
data_DyY2Se
_symmetry_space_group_name_H-M 'P 1'
_symmetry_Int_Tables_number 1
_symmetry_space_group_name_Hall 'P 1'
_cell_length_a 9.630
_cell_length_b 9.630
_cell_length_c 9.630
_cell_angle_alpha 22.77
_cell_angle_beta 22.77
_cell_angle_gamma 22.77
loop_
_atom_site_label
_atom_site_fract_x
_atom_site_fract_y
_atom_site_fract_z
Dy1 0.000 0.000 0.000
Y1 0.566 0.566 0.566
Y2 0.768 0.768 0.768
Se1 0.167 0.167 0.167
```


Model two:
Material: DyY2Se
Method: DFT, PBE
State: relaxed

Its space group is No. 166. The magnetic moment is 0.5 Bohr magnetons per cell. The value obtained for the density of states at the Fermi level is 1.29 states/eV per atom.

The structure in CIF format:
```
data_DyY2Se
_symmetry_space_group_name_H-M 'P 1'
_symmetry_Int_Tables_number 1
_symmetry_space_group_name_Hall 'P 1'
_cell_length_a 10.518
_cell_length_b 10.518
_cell_length_c 10.518
_cell_angle_alpha 20.39
_cell_angle_beta 20.39
_cell_angle_gamma 20.39
loop_
_atom_site_label
_atom_site_fract_x
_atom_site_fract_y
_atom_site_fract_z
Dy1 0.000 0.000 0.000
Y1 0.108 0.108 0.108
Y2 0.892 0.892 0.892
Se1 0.500 0.500 0.500
```


Stability order, top to bottom: model one, model two


Model one:
Material: DyY3Se4
Method: DFT, PBE
State: relaxed

Its space group is No. 221. The magnetic moment is 0.0 Bohr magnetons per cell. The value obtained for the density of states at the Fermi level is 0.64 states/eV per atom.

The structure in CIF format:
```
data_DyY3Se4
_symmetry_space_group_name_H-M 'P 1'
_symmetry_Int_Tables_number 1
_symmetry_space_group_name_Hall 'P 1'
_cell_length_a 5.777
_cell_length_b 5.777
_cell_length_c 5.777
_cell_angle_alpha 90.00
_cell_angle_beta 90.00
_cell_angle_gamma 90.00
loop_
_atom_site_label
_atom_site_fract_x
_atom_site_fract_y
_atom_site_fract_z
Dy1 0.000 0.000 0.000
Y1 0.000 0.500 0.500
Y2 0.500 0.000 0.500
Y3 0.500 0.500 0.000
Se1 0.000 0.000 0.500
Se2 0.000 0.500 0.000
Se3 0.500 0.000 0.000
Se4 0.500 0.500 0.500
```


Model two:
Material: DyY3Se4
Method: DFT, PBE
State: relaxed

Its space group is No. 13. The magnetic moment is 0.0 Bohr magnetons per cell. The value obtained for the density of states at the Fermi level is 0.46 states/eV per atom.

The structure in CIF format:
```
data_DyY3Se4
_symmetry_space_group_name_H-M 'P 1'
_symmetry_Int_Tables_number 1
_symmetry_space_group_name_Hall 'P 1'
_cell_length_a 7.102
_cell_length_b 8.093
_cell_length_c 7.100
_cell_angle_alpha 90.00
_cell_angle_beta 109.32
_cell_angle_gamma 90.00
loop_
_atom_site_label
_atom_site_fract_x
_atom_site_fract_y
_atom_site_fract_z
Dy1 0.000 0.125 0.250
Dy2 0.000 0.875 0.750
Y1 0.000 0.375 0.750
Y2 0.000 0.625 0.250
Y3 0.500 0.125 0.750
Y4 0.500 0.375 0.250
Y5 0.500 0.625 0.750
Y6 0.500 0.875 0.250
Se1 0.249 0.124 0.000
Se2 0.249 0.876 0.500
Se3 0.250 0.375 0.500
Se4 0.250 0.625 0.000
Se5 0.750 0.375 0.000
Se6 0.750 0.625 0.500
Se7 0.751 0.124 0.500
Se8 0.751 0.876 0.000
```


Stability order, top to bottom: model two, model one